#P
Computed, not measured: K3Re after structural relaxation at the PBE-GGA level of DFT.

Lattice parameters (Å, degrees): 3.0715 3.0715 13.8766 90.00 90.00 90.16
Fractional coordinates of all 4 atoms:
K  0.0000  0.0000  0.0000
K  0.5000  0.5000  0.3082
K  0.5000  0.5000  0.6918
Re  0.0000  0.0000  0.5000

=====

#Q
Computed, not measured: K3Re after structural relaxation at the PBE-GGA level of DFT.

Lattice parameters (Å, degrees): 9.6729 10.9939 7.1603 90.00 90.00 90.00
Fractional coordinates of all 16 atoms:
K  0.0295  0.2500  0.1012
K  0.1726  0.0578  0.6275
K  0.1726  0.4422  0.6275
K  0.3274  0.5578  0.1275
K  0.3274  0.9422  0.1275
K  0.4705  0.7500  0.6012
K  0.5295  0.2500  0.3988
K  0.6726  0.0578  0.8725
K  0.6726  0.4422  0.8725
K  0.8274  0.5578  0.3725
K  0.8274  0.9422  0.3725
K  0.9705  0.7500  0.8988
Re  0.1188  0.7500  0.4158
Re  0.3812  0.2500  0.9158
Re  0.6188  0.7500  0.0842
Re  0.8812  0.2500  0.5842

=====

Which one sits at the bottom of the stability order? #Q does.

=====

#P
Computed, not measured: K3Re after structural relaxation at the PBE-GGA level of DFT.

Lattice parameters (Å, degrees): 6.4664 6.4664 6.4664 127.05 127.05 78.17
Fractional coordinates of all 4 atoms:
K  0.0000  0.0000  0.0000
K  0.2500  0.7500  0.5000
K  0.7500  0.2500  0.5000
Re  0.5000  0.5000  0.0000

=====

#Q
Computed, not measured: K3Re after structural relaxation at the PBE-GGA level of DFT.

Lattice parameters (Å, degrees): 2.8874 6.0195 7.6951 90.00 90.00 90.00
Fractional coordinates of all 4 atoms:
K  0.0000  0.0000  0.0000
K  0.0000  0.5000  0.2841
K  0.5000  0.0000  0.5802
Re  0.5000  0.5000  0.8074

=====

#R
Computed, not measured: K3Re after structural relaxation at the PBE-GGA level of DFT.

Lattice parameters (Å, degrees): 10.0024 10.0024 10.0024 163.32 143.32 40.55
Fractional coordinates of all 4 atoms:
K  0.0000  0.0000  0.0000
K  0.3383  0.8383  0.5000
K  0.6617  0.1617  0.5000
Re  0.5000  0.5000  0.0000

=====

#S
Computed, not measured: K3Re after structural relaxation at the PBE-GGA level of DFT.

Lattice parameters (Å, degrees): 5.5606 5.5606 5.5387 90.00 90.00 90.00
Fractional coordinates of all 4 atoms:
K  0.0000  0.0000  0.0000
K  0.0000  0.5000  0.5000
K  0.5000  0.0000  0.5000
Re  0.5000  0.5000  0.0000

=====

Which one sits at the bottom of the stability order? #S does.

=====

#P
Computed, not measured: KRe5 after structural relaxation at the PBE-GGA level of DFT.

Lattice parameters (Å, degrees): 5.2725 5.2725 5.2725 60.00 60.00 60.00
Fractional coordinates of all 6 atoms:
K  0.0000  0.0000  0.0000
Re  0.3749  0.3749  0.3749
Re  0.3749  0.3749  0.8754
Re  0.3749  0.8754  0.3749
Re  0.7500  0.7500  0.7500
Re  0.8754  0.3749  0.3749

=====

#Q
Computed, not measured: KRe5 after structural relaxation at the PBE-GGA level of DFT.

Lattice parameters (Å, degrees): 5.4101 5.4101 4.4758 90.00 90.00 131.91
Fractional coordinates of all 6 atoms:
K  0.0000  0.0000  0.0000
Re  0.1691  0.8309  0.5000
Re  0.3187  0.6813  0.0000
Re  0.5000  0.5000  0.5000
Re  0.6813  0.3187  0.0000
Re  0.8309  0.1691  0.5000

=====

#R
Computed, not measured: KRe5 after structural relaxation at the PBE-GGA level of DFT.

Lattice parameters (Å, degrees): 6.1125 6.1125 7.1531 91.22 91.22 26.06
Fractional coordinates of all 6 atoms:
K  0.0000  0.0000  0.0000
Re  0.2786  0.2786  0.2915
Re  0.2843  0.2843  0.6897
Re  0.6342  0.6342  0.4926
Re  0.7421  0.7421  0.9870
Re  0.9348  0.9348  0.4912

=====

#S
Computed, not measured: KRe5 after structural relaxation at the PBE-GGA level of DFT.

Lattice parameters (Å, degrees): 5.2723 5.2723 4.5326 90.00 90.00 120.00
Fractional coordinates of all 6 atoms:
K  0.0000  0.0000  0.0000
Re  0.0000  0.5000  0.5000
Re  0.3333  0.6667  0.0000
Re  0.5000  0.0000  0.5000
Re  0.5000  0.5000  0.5000
Re  0.6667  0.3333  0.0000

=====

Which one sits at the bottom of the stability order? #Q does.

=====

#P
Computed, not measured: KReRh2 after structural relaxation at the PBE-GGA level of DFT.

Lattice parameters (Å, degrees): 10.0585 10.0585 10.0585 16.22 16.22 16.22
Fractional coordinates of all 4 atoms:
K  0.0000  0.0000  0.0000
Re  0.5000  0.5000  0.5000
Rh  0.2370  0.2370  0.2370
Rh  0.7630  0.7630  0.7630

=====

#Q
Computed, not measured: KReRh2 after structural relaxation at the PBE-GGA level of DFT.

Lattice parameters (Å, degrees): 4.5699 4.5699 4.5699 60.00 60.00 60.00
Fractional coordinates of all 4 atoms:
K  0.0000  0.0000  0.0000
Re  0.5000  0.5000  0.5000
Rh  0.2500  0.2500  0.2500
Rh  0.7500  0.7500  0.7500

=====

#R
Computed, not measured: KReRh2 after structural relaxation at the PBE-GGA level of DFT.

Lattice parameters (Å, degrees): 4.9451 4.9451 2.7707 90.00 90.00 98.63
Fractional coordinates of all 4 atoms:
K  0.0000  0.0000  0.0000
Re  0.5000  0.5000  0.0000
Rh  0.0000  0.5000  0.5000
Rh  0.5000  0.0000  0.5000

=====

#S
Computed, not measured: KReRh2 after structural relaxation at the PBE-GGA level of DFT.

Lattice parameters (Å, degrees): 4.4264 4.4264 7.3033 93.21 93.21 35.81
Fractional coordinates of all 4 atoms:
K  0.0000  0.0000  0.0000
Re  0.5000  0.5000  0.5000
Rh  0.2396  0.2396  0.6579
Rh  0.7604  0.7604  0.3421

=====

Which one sits at the bottom of the stability order? #Q does.

=====

#P
Computed, not measured: KReRh2 after structural relaxation at the PBE-GGA level of DFT.

Lattice parameters (Å, degrees): 4.5447 4.5447 4.5447 60.00 60.00 60.00
Fractional coordinates of all 4 atoms:
K  0.0000  0.0000  0.0000
Re  0.2500  0.2500  0.2500
Rh  0.5000  0.5000  0.5000
Rh  0.7500  0.7500  0.7500

=====

#Q
Computed, not measured: KReRh2 after structural relaxation at the PBE-GGA level of DFT.

Lattice parameters (Å, degrees): 2.7411 2.7411 9.6036 90.00 90.00 90.13
Fractional coordinates of all 4 atoms:
K  0.0000  0.0000  0.0000
Re  0.5000  0.5000  0.6819
Rh  0.0000  0.0000  0.4895
Rh  0.5000  0.5000  0.2819

=====

#R
Computed, not measured: KReRh2 after structural relaxation at the PBE-GGA level of DFT.

Lattice parameters (Å, degrees): 2.6888 4.0562 7.5828 90.00 90.00 90.00
Fractional coordinates of all 4 atoms:
K  0.0000  0.0000  0.0000
Re  0.5000  0.5000  0.3649
Rh  0.0000  0.0000  0.4912
Rh  0.5000  0.5000  0.6864

=====

#S
Computed, not measured: KReRh2 after structural relaxation at the PBE-GGA level of DFT.

Lattice parameters (Å, degrees): 5.6873 5.6873 5.6873 147.23 120.90 69.25
Fractional coordinates of all 4 atoms:
K  0.0000  0.0000  0.0000
Re  0.5000  0.5000  0.0000
Rh  0.3079  0.8079  0.5000
Rh  0.6921  0.1921  0.5000

=====

Which one sits at the bottom of the stability order? #P does.

=====

#P
Computed, not measured: KReRh2 after structural relaxation at the PBE-GGA level of DFT.

Lattice parameters (Å, degrees): 2.8727 2.8727 8.8509 90.00 90.00 90.00
Fractional coordinates of all 4 atoms:
K  0.0000  0.0000  0.0000
Re  0.0000  0.0000  0.5000
Rh  0.5000  0.5000  0.3076
Rh  0.5000  0.5000  0.6924

=====

#Q
Computed, not measured: KReRh2 after structural relaxation at the PBE-GGA level of DFT.

Lattice parameters (Å, degrees): 4.8371 4.8371 6.5378 96.84 96.84 33.45
Fractional coordinates of all 4 atoms:
K  0.0000  0.0000  0.0000
Re  0.2202  0.2202  0.6097
Rh  0.4926  0.4926  0.5215
Rh  0.7703  0.7703  0.3080

=====

#R
Computed, not measured: KReRh2 after structural relaxation at the PBE-GGA level of DFT.

Lattice parameters (Å, degrees): 3.1477 3.1477 8.1473 90.00 90.00 90.00
Fractional coordinates of all 4 atoms:
K  0.0000  0.0000  0.0000
Re  0.5000  0.5000  0.3504
Rh  0.0000  0.0000  0.4982
Rh  0.5000  0.5000  0.6872

=====

#S
Computed, not measured: KReRh2 after structural relaxation at the PBE-GGA level of DFT.

Lattice parameters (Å, degrees): 5.1306 5.1306 5.1306 134.37 134.37 66.52
Fractional coordinates of all 4 atoms:
K  0.0000  0.0000  0.0000
Re  0.2500  0.7500  0.5000
Rh  0.5000  0.5000  0.0000
Rh  0.7500  0.2500  0.5000

=====

Which one sits at the bottom of the stability order? #S does.